(1)
A plane-wave DFT calculation with PBE was carried out for an optimized crystal structure of CuP7.

Unit cell a=5.4669 b=5.4669 c=5.4669 alpha=60.00 beta=60.00 gamma=60.00
Closest atoms and distances in Å follow each position.
Positions (direct):
P  0.5000  0.0000  0.5000  2 Cu 2.73, 10 P 2.73
P  0.0000  0.5000  0.5000  2 Cu 2.73, 10 P 2.73
P  0.0000  0.5000  0.0000  2 Cu 2.73, 10 P 2.73
Cu  0.0000  0.0000  0.0000  12 P 2.73
P  0.5000  0.5000  0.5000  12 P 2.73
P  0.0000  0.0000  0.5000  2 Cu 2.73, 10 P 2.73
P  0.5000  0.0000  0.0000  2 Cu 2.73, 10 P 2.73
P  0.5000  0.5000  0.0000  2 Cu 2.73, 10 P 2.73

Results
- E_form (meV/atom) = 804.4
- total magnetization (μB per atom) = 0.0000
- space-group type = Fm-3m, No. 225

=====

(2)
A plane-wave DFT calculation with PBE was carried out for an optimized crystal structure of CuP3.

Unit cell a=5.3028 b=5.3028 c=4.6735 alpha=64.39 beta=64.39 gamma=29.73
Closest atoms and distances in Å follow each position.
Positions (direct):
P  0.2489  0.2489  0.2000  2 P 2.30
Cu  0.0000  0.0000  0.0000  8 P 2.68-2.70, 2 Cu 2.72
P  0.7511  0.7511  0.8000  2 P 2.30
P  0.5000  0.5000  0.5000  6 P 2.67-2.72, 4 Cu 2.70

Results
- E_form (meV/atom) = 532.6
- total magnetization (μB per atom) = 0.0000
- space-group type = C2/m, No. 12

=====

(3)
A plane-wave DFT calculation with PBE was carried out for an optimized crystal structure of CuP2.

Unit cell a=5.2549 b=5.2549 c=6.5166 alpha=57.51 beta=57.51 gamma=37.60
Closest atoms and distances in Å follow each position.
Positions (direct):
P  0.7517  0.7517  0.5729  1 Cu 2.30, 4 P 2.37-2.45
Cu  0.9545  0.9545  0.9398  3 P 2.29-2.42
Cu  0.6289  0.6289  0.9968  4 P 2.30-2.42
P  0.4529  0.4529  0.4256  1 Cu 2.31, 4 P 2.37-2.50
P  0.1116  0.1116  0.4885  3 P 2.21-2.45, 1 Cu 2.42
P  0.2671  0.2671  0.0764  1 P 2.21, 4 Cu 2.29-2.42

Results
- E_form (meV/atom) = 140.1
- total magnetization (μB per atom) = 0.0000
- space-group type = Cm, No. 8

=====

(4)
A plane-wave DFT calculation with PBE was carried out for an optimized crystal structure of CuP.

Unit cell a=7.4471 b=8.6255 c=7.5964 alpha=90.00 beta=90.00 gamma=90.00
Closest atoms and distances in Å follow each position.
Positions (direct):
P  0.0000  0.6279  0.5000  1 P 2.21, 2 Cu 2.25
P  0.5000  0.8721  0.5000  1 P 2.21, 2 Cu 2.25
Cu  0.3297  0.5000  0.5000  2 P 2.25
P  0.7500  0.3779  0.2500  1 P 2.21, 2 Cu 2.25
Cu  0.8297  0.5000  0.0000  2 P 2.25
P  0.2500  0.3779  0.7500  1 P 2.21, 2 Cu 2.25
P  0.5000  0.6279  0.0000  1 P 2.21, 2 Cu 2.25
Cu  0.0797  0.2500  0.2500  2 P 2.25
Cu  0.1703  0.5000  0.0000  2 P 2.25
Cu  0.9203  0.2500  0.7500  2 P 2.25
Cu  0.8297  0.0000  0.5000  2 P 2.25
Cu  0.4203  0.7500  0.7500  2 P 2.25
P  0.7500  0.6221  0.7500  1 P 2.21, 2 Cu 2.25
Cu  0.9203  0.7500  0.2500  2 P 2.25
Cu  0.0797  0.7500  0.7500  2 P 2.25
Cu  0.1703  0.0000  0.5000  2 P 2.25
Cu  0.3297  0.0000  0.0000  2 P 2.25
P  0.5000  0.1279  0.5000  1 P 2.21, 2 Cu 2.25
Cu  0.6703  0.5000  0.5000  2 P 2.25
P  0.2500  0.1221  0.7500  1 P 2.21, 2 Cu 2.25
Cu  0.4203  0.2500  0.2500  2 P 2.25
Cu  0.6703  0.0000  0.0000  2 P 2.25
P  0.2500  0.8779  0.2500  1 P 2.21, 2 Cu 2.25
Cu  0.5797  0.2500  0.7500  2 P 2.25
P  0.0000  0.1279  0.0000  1 P 2.21, 2 Cu 2.25
P  0.7500  0.8779  0.7500  1 P 2.21, 2 Cu 2.25
P  0.0000  0.3721  0.5000  1 P 2.21, 2 Cu 2.25
P  0.2500  0.6221  0.2500  1 P 2.21, 2 Cu 2.25
P  0.0000  0.8721  0.0000  1 P 2.21, 2 Cu 2.25
P  0.7500  0.1221  0.2500  1 P 2.21, 2 Cu 2.25
P  0.5000  0.3721  0.0000  1 P 2.21, 2 Cu 2.25
Cu  0.5797  0.7500  0.2500  2 P 2.25

Results
- E_form (meV/atom) = 195.9
- total magnetization (μB per atom) = 0.0000
- space-group type = Fddd, No. 70

=====

(5)
A plane-wave DFT calculation with PBE was carried out for an optimized crystal structure of CuP3.

Unit cell a=4.3519 b=4.3519 c=4.3519 alpha=122.84 beta=122.84 gamma=85.15
Closest atoms and distances in Å follow each position.
Positions (direct):
P  0.5000  0.5000  0.0000  8 P 2.63
Cu  0.0000  0.0000  0.0000  8 P 2.63
P  0.2500  0.7500  0.5000  4 Cu 2.63, 4 P 2.63
P  0.7500  0.2500  0.5000  4 P 2.63, 4 Cu 2.63

Results
- E_form (meV/atom) = 615.1
- total magnetization (μB per atom) = 0.0000
- space-group type = I4/mmm, No. 139

=====

(6)
A plane-wave DFT calculation with PBE was carried out for an optimized crystal structure of CuP2.

Unit cell a=4.3977 b=4.3977 c=2.4714 alpha=90.00 beta=90.00 gamma=120.00
Closest atoms and distances in Å follow each position.
Positions (direct):
P  0.3333  0.6667  0.5002  5 P 2.47-2.54
Cu  0.0000  0.0000  0.0000  2 Cu 2.47
P  0.6667  0.3333  0.4998  5 P 2.47-2.54

Results
- E_form (meV/atom) = 466.5
- total magnetization (μB per atom) = 0.0000
- space-group type = P6/mmm, No. 191

=====

(7)
A plane-wave DFT calculation with PBE was carried out for an optimized crystal structure of CuP.

Unit cell a=3.8110 b=3.8110 c=16.1516 alpha=90.00 beta=90.00 gamma=120.00
Closest atoms and distances in Å follow each position.
Positions (direct):
P  0.6667  0.3333  0.7325  1 P 2.16, 3 Cu 2.32
P  0.3333  0.6667  0.2675  1 P 2.16, 3 Cu 2.32
P  0.0000  0.0000  0.0798  4 Cu 2.29-2.30
Cu  0.3333  0.6667  0.9591  3 P 2.29
Cu  0.3333  0.6667  0.6504  6 P 2.35-2.57
P  0.0000  0.0000  0.9202  4 Cu 2.29-2.30
Cu  0.6667  0.3333  0.3496  6 P 2.35-2.57
Cu  0.0000  0.0000  0.2221  4 P 2.30-2.32
Cu  0.0000  0.0000  0.7779  4 P 2.30-2.32
P  0.6667  0.3333  0.5987  1 P 2.16, 3 Cu 2.35
P  0.3333  0.6667  0.4013  1 P 2.16, 3 Cu 2.35
Cu  0.6667  0.3333  0.0409  3 P 2.29

Results
- E_form (meV/atom) = 116.1
- total magnetization (μB per atom) = 0.0000
- space-group type = P-3m1, No. 164

=====

(8)
A plane-wave DFT calculation with PBE was carried out for an optimized crystal structure of CuP3.

Unit cell a=5.4636 b=5.4636 c=5.4636 alpha=144.40 beta=141.18 gamma=53.68
Closest atoms and distances in Å follow each position.
Positions (direct):
P  0.8186  0.8186  0.0000  2 P 2.43, 2 Cu 2.53
Cu  0.5000  0.0000  0.5000  8 P 2.47-2.53
P  0.1814  0.1814  0.0000  2 P 2.43, 2 Cu 2.53
P  0.0000  0.5000  0.5000  4 P 2.43, 4 Cu 2.47

Results
- E_form (meV/atom) = 380.5
- total magnetization (μB per atom) = 0.0000
- space-group type = Immm, No. 71

=====

Please write out number 8 again, unchanged.
A plane-wave DFT calculation with PBE was carried out for an optimized crystal structure of CuP3.

Unit cell a=5.4636 b=5.4636 c=5.4636 alpha=144.40 beta=141.18 gamma=53.68
Closest atoms and distances in Å follow each position.
Positions (direct):
P  0.8186  0.8186  0.0000  2 P 2.43, 2 Cu 2.53
Cu  0.5000  0.0000  0.5000  8 P 2.47-2.53
P  0.1814  0.1814  0.0000  2 P 2.43, 2 Cu 2.53
P  0.0000  0.5000  0.5000  4 P 2.43, 4 Cu 2.47

Results
- E_form (meV/atom) = 380.5
- total magnetization (μB per atom) = 0.0000
- space-group type = Immm, No. 71